DFT (PBEsol) results for a relaxed structure of Ta2Re.

Output
ρ ... 18.03 g cm⁻³
Total magnetization ... 0.0 μB/cell
ΔH_f (0 K) ... 0.13 eV/atom
DFT total energy ... -76.1 eV per cell

Lattice parameters (Å, degrees): 4.7277 4.7277 5.2169 90.00 90.00 120.00
Space group P6_3/mmc (No. 194)
Symmetry-distinct sites (fractional):
Ta 0.0000 0.0000 0.0000
Ta 0.3333 0.6667 0.2500
Re 0.3333 0.6667 0.7500